(1)
First-principles (PBE) data for a relaxed structure of Rb2PaCu2Se6, as listed in Alexandria.

Values from the calculation:
SG: C2/m (12)
Formation energy from raw total energies (eV/atom): -0.760

POSCAR file:
```
Rb2PaCu2Se6
1.0
-2.867 2.855 -4.476
5.175 -5.005 -2.440
-8.259 -3.597 2.996
Rb Pa Cu Se
2 1 2 6
Direct
0.696 0.392 0.185
0.304 0.608 0.815
0.500 0.000 0.500
0.899 0.798 0.680
0.101 0.202 0.320
0.715 0.430 0.596
0.203 0.907 0.219
0.297 0.093 0.781
0.797 0.093 0.781
0.703 0.907 0.219
0.285 0.570 0.404
```

=====

(2)
First-principles (PBE) data for a relaxed structure of RbPa2Cu2Te6, as listed in Alexandria.

Values from the calculation:
SG: P-1 (2)
Formation energy from raw total energies (eV/atom): -0.606

POSCAR file:
```
RbPa2Cu2Te6
1.0
8.013 0.146 -0.015
4.142 7.363 -0.542
-0.109 -4.627 7.084
Rb Pa Cu Te
1 2 2 6
Direct
0.500 0.000 0.500
0.838 0.328 0.839
0.162 0.672 0.161
0.158 0.782 0.845
0.842 0.218 0.155
0.408 0.790 0.036
0.991 0.435 0.192
0.204 0.819 0.571
0.009 0.565 0.808
0.796 0.181 0.429
0.592 0.210 0.964
```

=====

(3)
First-principles (PBE) data for a relaxed structure of RbPaCu2Te4, as listed in Alexandria.

Values from the calculation:
SG: I222 (23)
Formation energy from raw total energies (eV/atom): -0.384

POSCAR file:
```
RbPaCu2Te4
1.0
6.902 0.000 0.000
3.451 6.561 -0.100
3.451 0.438 6.547
Rb Pa Cu Te
1 1 2 4
Direct
0.000 0.000 0.000
0.500 0.500 0.500
0.128 0.372 0.372
0.872 0.628 0.628
0.441 0.135 0.502
0.078 0.865 0.498
0.922 0.502 0.135
0.559 0.498 0.865
```

=====

(4)
First-principles (PBE) data for a relaxed structure of Rb3PaCu2Te6, as listed in Alexandria.

Values from the calculation:
SG: C2/m (12)
Formation energy from raw total energies (eV/atom): -0.615

POSCAR file:
```
Rb3PaCu2Te6
1.0
9.030 -1.493 -0.372
-5.807 7.076 -0.372
-1.529 -2.648 8.369
Rb Pa Cu Te
3 1 2 6
Direct
0.181 0.819 0.500
0.819 0.181 0.500
0.500 0.500 0.500
0.000 0.000 0.000
0.422 0.578 0.000
0.578 0.422 0.000
0.844 0.558 0.836
0.819 0.819 0.256
0.156 0.442 0.164
0.558 0.844 0.836
0.181 0.181 0.744
0.442 0.156 0.164
```

=====

(5)
First-principles (PBE) data for a relaxed structure of Rb2PaCu2Te6, as listed in Alexandria.

Values from the calculation:
SG: C2/m (12)
Formation energy from raw total energies (eV/atom): -0.496

POSCAR file:
```
Rb2PaCu2Te6
1.0
8.650 0.000 0.000
-4.325 6.838 -0.976
0.000 -4.991 7.607
Rb Pa Cu Te
2 1 2 6
Direct
0.749 0.498 0.248
0.251 0.502 0.752
0.500 0.000 0.500
0.999 0.998 0.849
0.001 0.002 0.151
0.786 0.573 0.787
0.269 0.002 0.265
0.267 0.998 0.735
0.731 0.998 0.735
0.733 0.002 0.265
0.214 0.427 0.213
```

=====

(6)
First-principles (PBE) data for a relaxed structure of Rb2PaCu2Te4, as listed in Alexandria.

Values from the calculation:
SG: C2/m (12)
Formation energy from raw total energies (eV/atom): -0.735

POSCAR file:
```
Rb2PaCu2Te4
1.0
-2.877 0.720 -3.221
-6.362 -3.402 4.922
1.824 7.527 3.029
Rb Pa Cu Te
2 1 2 4
Direct
0.137 0.563 0.273
0.863 0.437 0.727
0.000 0.000 0.000
0.673 0.986 0.347
0.327 0.014 0.653
0.200 0.167 0.400
0.800 0.833 0.600
0.519 0.762 0.037
0.481 0.238 0.963
```

=====

(7)
First-principles (PBE) data for a relaxed structure of Rb4Pa3CuTe8, as listed in Alexandria.

Values from the calculation:
SG: C2/m (12)
Formation energy from raw total energies (eV/atom): -0.810

POSCAR file:
```
Rb4Pa3CuTe8
1.0
-1.609 1.817 -8.588
0.332 -9.812 -2.138
-5.862 2.528 6.270
Rb Pa Cu Te
4 3 1 8
Direct
0.500 0.000 0.000
0.500 0.000 0.500
0.000 0.000 0.000
0.000 0.000 0.500
0.500 0.500 0.000
0.500 0.500 0.500
0.000 0.500 0.500
0.000 0.500 0.000
0.226 0.693 0.967
0.228 0.695 0.457
0.265 0.294 0.530
0.741 0.693 0.967
0.259 0.307 0.033
0.735 0.706 0.470
0.772 0.305 0.543
0.774 0.307 0.033
```

=====

(8)
First-principles (PBE) data for a relaxed structure of PaCuRe, as listed in Alexandria.

Values from the calculation:
SG: P3m1 (156)
ΔE to the lowest computed polymorph (eV/f.u.): 1.23
Energy of formation from the pure elements (eV/atom): 0.305

POSCAR file:
```
PaCuRe
1.0
2.969 0.000 0.000
0.000 4.581 0.000
0.000 -2.290 3.967
Re Pa Cu
1 1 1
Direct
0.601 0.333 0.667
0.957 0.000 0.000
0.442 0.667 0.333
```

=====

| no. | final energy (eV per atom) |
| --- | --- |
| 1 | -4.444 |
| 2 | -4.879 |
| 3 | -4.287 |
| 4 | -3.902 |
| 5 | -3.994 |
| 6 | -4.311 |
| 7 | -4.660 |
| 8 | -8.375 |